Material: PuCrGaFe
Method: DFT, PBE
State: optimized geometry Values from VASP.

VASP energy: -8.87 eV/atom
energy relative to the elements: -10.4 meV/atom
calculated density: 11.63 Mg/m³

Geometry as Quantum ESPRESSO input:
```
&SYSTEM
  ibrav = 0, nat = 4, ntyp = 4
/
ATOMIC_SPECIES
Pu 244.00 Pu.upf
Cr 52.00 Cr.upf
Ga 69.72 Ga.upf
Fe 55.84 Fe.upf
ATOMIC_POSITIONS angstrom
Pu 0.000 0.000 0.000
Cr 4.666 4.666 4.666
Ga 3.111 3.111 3.111
Fe 1.555 1.555 1.555
CELL_PARAMETERS angstrom
0.000 3.111 3.111
3.111 0.000 3.111
3.111 3.111 0.000
```